*P*
# ScHgAsSe2 | Alexandria | GGA-PBE | relaxed
# Spin magnetization (Bohr magnetons per cell): 0.74
# Fermi-level density of states (states/eV per cell): 6.897
data_ScHgAsSe2
_cell_length_a 5.122
_cell_length_b 5.122
_cell_length_c 5.332
_cell_angle_alpha 90.00
_cell_angle_beta 90.00
_cell_angle_gamma 90.00
_space_group_name_H-M_alt 'P 4/m m m'
_space_group_IT_number 123
_space_group_name_Hall '-P 4 2'
loop_
_atom_site_label
_atom_site_type_symbol
_atom_site_fract_x
_atom_site_fract_y
_atom_site_fract_z
Sc1 Sc 0.000 0.000 0.000
Hg1 Hg 0.500 0.500 0.500
As1 As 0.000 0.000 0.500
Se1 Se 0.000 0.500 0.000

*Q*
# ScHgAsSe2 | Alexandria | GGA-PBE | relaxed
# Spin magnetization (Bohr magnetons per cell): 0.00
# Fermi-level density of states (states/eV per cell): 4.856
data_ScHgAsSe2
_cell_length_a 5.174
_cell_length_b 5.174
_cell_length_c 5.129
_cell_angle_alpha 90.00
_cell_angle_beta 90.00
_cell_angle_gamma 90.00
_space_group_name_H-M_alt 'P 4/m m m'
_space_group_IT_number 123
_space_group_name_Hall '-P 4 2'
loop_
_atom_site_label
_atom_site_type_symbol
_atom_site_fract_x
_atom_site_fract_y
_atom_site_fract_z
Sc1 Sc 0.000 0.000 0.000
Hg1 Hg 0.500 0.500 0.500
As1 As 0.500 0.500 0.000
Se1 Se 0.000 0.500 0.500

Stability comparison, relative energies in eV/atom: *P* 0.000; *Q* 0.560

*P*
# HgAs3Se | Alexandria | GGA-PBE | relaxed
# Spin magnetization (Bohr magnetons per cell): 0.00
# Fermi-level density of states (states/eV per cell): 6.524
data_HgAs3Se
_cell_length_a 5.178
_cell_length_b 5.178
_cell_length_c 5.178
_cell_angle_alpha 90.00
_cell_angle_beta 90.00
_cell_angle_gamma 90.00
_space_group_name_H-M_alt 'P m -3 m'
_space_group_IT_number 221
_space_group_name_Hall '-P 4 2 3'
loop_
_atom_site_label
_atom_site_type_symbol
_atom_site_fract_x
_atom_site_fract_y
_atom_site_fract_z
Hg1 Hg 0.000 0.000 0.000
As1 As 0.000 0.000 0.500
Se1 Se 0.500 0.500 0.500

*Q*
# HgAs3Se | Alexandria | GGA-PBE | relaxed
# Spin magnetization (Bohr magnetons per cell): 0.00
# Fermi-level density of states (states/eV per cell): 5.594
data_HgAs3Se
_cell_length_a 5.085
_cell_length_b 5.085
_cell_length_c 5.085
_cell_angle_alpha 90.00
_cell_angle_beta 90.00
_cell_angle_gamma 90.00
_space_group_name_H-M_alt 'P m -3 m'
_space_group_IT_number 221
_space_group_name_Hall '-P 4 2 3'
loop_
_atom_site_label
_atom_site_type_symbol
_atom_site_fract_x
_atom_site_fract_y
_atom_site_fract_z
Hg1 Hg 0.000 0.000 0.000
As1 As 0.000 0.500 0.500
Se1 Se 0.500 0.500 0.500

Stability comparison, relative energies in eV/atom: *P* 0.370; *Q* 0.000

*P*
# HgAs2Se | Alexandria | GGA-PBE | relaxed
# Spin magnetization (Bohr magnetons per cell): 0.00
# Fermi-level density of states (states/eV per cell): 2.154
data_HgAs2Se
_cell_length_a 3.535
_cell_length_b 4.376
_cell_length_c 5.680
_cell_angle_alpha 90.00
_cell_angle_beta 90.00
_cell_angle_gamma 90.00
_space_group_name_H-M_alt 'P m m m'
_space_group_IT_number 47
loop_
_space_group_symop_operation_xyz
'x,y,z'
'-x,-y,-z'
'-x,-y,z'
'x,y,-z'
'x,-y,-z'
'-x,y,z'
'-x,y,-z'
'x,-y,z'
loop_
_atom_site_label
_atom_site_type_symbol
_atom_site_fract_x
_atom_site_fract_y
_atom_site_fract_z
Hg1 Hg 0.000 0.000 0.000
As1 As 0.000 0.500 0.500
As2 As 0.500 0.500 0.000
Se1 Se 0.500 0.000 0.500

*Q*
# HgAs2Se | Alexandria | GGA-PBE | relaxed
# Spin magnetization (Bohr magnetons per cell): 0.00
# Fermi-level density of states (states/eV per cell): 12.484
data_HgAs2Se
_cell_length_a 6.959
_cell_length_b 6.959
_cell_length_c 6.959
_cell_angle_alpha 90.00
_cell_angle_beta 90.00
_cell_angle_gamma 90.00
_space_group_name_H-M_alt 'F m -3 m'
_space_group_IT_number 225
_space_group_name_Hall '-F 4 2 3'
loop_
_atom_site_label
_atom_site_type_symbol
_atom_site_fract_x
_atom_site_fract_y
_atom_site_fract_z
Hg1 Hg 0.000 0.000 0.000
As1 As 0.250 0.250 0.250
Se1 Se 0.000 0.000 0.500

*R*
# HgAs2Se | Alexandria | GGA-PBE | relaxed
# Spin magnetization (Bohr magnetons per cell): 0.00
# Fermi-level density of states (states/eV per cell): 5.181
data_HgAs2Se
_cell_length_a 3.474
_cell_length_b 5.747
_cell_length_c 8.886
_cell_angle_alpha 90.00
_cell_angle_beta 90.00
_cell_angle_gamma 90.00
_space_group_name_H-M_alt 'I m m m'
_space_group_IT_number 71
_space_group_name_Hall '-I 2 2'
loop_
_atom_site_label
_atom_site_type_symbol
_atom_site_fract_x
_atom_site_fract_y
_atom_site_fract_z
Hg1 Hg 0.000 0.000 0.000
As1 As 0.000 0.500 0.230
Se1 Se 0.000 0.000 0.500

Stability comparison, relative energies in eV/atom: *P* 0.017; *Q* 0.106; *R* 0.000

*P*
# HgAs2Se | Alexandria | GGA-PBE | relaxed
# Spin magnetization (Bohr magnetons per cell): 0.00
# Fermi-level density of states (states/eV per cell): 1.365
data_HgAs2Se
_cell_length_a 3.377
_cell_length_b 5.495
_cell_length_c 5.516
_cell_angle_alpha 90.00
_cell_angle_beta 90.61
_cell_angle_gamma 90.00
_space_group_name_H-M_alt 'P 1 m 1'
_space_group_IT_number 6
loop_
_space_group_symop_operation_xyz
'x,y,z'
'x,-y,z'
loop_
_atom_site_label
_atom_site_type_symbol
_atom_site_fract_x
_atom_site_fract_y
_atom_site_fract_z
Hg1 Hg 0.000 0.000 0.000
As1 As 0.031 0.500 0.536
As2 As 0.033 0.000 0.489
Se1 Se 0.536 0.500 0.861

*Q*
# HgAs2Se | Alexandria | GGA-PBE | relaxed
# Spin magnetization (Bohr magnetons per cell): 0.00
# Fermi-level density of states (states/eV per cell): 1.986
data_HgAs2Se
_cell_length_a 4.959
_cell_length_b 4.959
_cell_length_c 3.420
_cell_angle_alpha 90.00
_cell_angle_beta 90.00
_cell_angle_gamma 90.00
_space_group_name_H-M_alt 'P 4/m m m'
_space_group_IT_number 123
_space_group_name_Hall '-P 4 2'
loop_
_atom_site_label
_atom_site_type_symbol
_atom_site_fract_x
_atom_site_fract_y
_atom_site_fract_z
Hg1 Hg 0.000 0.000 0.000
As1 As 0.000 0.500 0.500
Se1 Se 0.500 0.500 0.000

Stability comparison, relative energies in eV/atom: *P* 0.000; *Q* 0.308